Run w
A plane-wave DFT calculation with PBE was carried out for La2TaAu after structural relaxation.

Summary:
Symmetry: R3m (160)

Cell: 10.362 10.362 10.362 Å, 19.16 19.16 19.16°
Fractional coordinates of all 4 atoms:
Au (0.760, 0.760, 0.760)
La (0.010, 0.010, 0.010)
La (0.240, 0.240, 0.240)
Ta (0.490, 0.490, 0.490)

=====

Run x
A plane-wave DFT calculation with PBE was carried out for La2TaAu after structural relaxation.

Summary:
Symmetry: Pmmm (47)

Cell: 3.623 5.314 5.021 Å, 90.00 90.00 90.00°
Fractional coordinates of all 4 atoms:
Au (0.000, 0.500, 0.500)
La (0.000, 0.000, 0.000)
La (0.500, 0.500, 0.000)
Ta (0.500, 0.000, 0.500)

=====

Question: of the structures shown, which is the most stable? Reply: run w.